A.
DFT (PBE) results for a relaxed structure of RbLi2Pd2.

```
data_RbLi2Pd2
_cell_length_a 4.6589
_cell_length_b 4.6589
_cell_length_c 10.2087
_cell_angle_alpha 90.00
_cell_angle_beta 90.00
_cell_angle_gamma 90.00
_symmetry_space_group_name_H-M 'I 4/m m m'
_symmetry_Int_Tables_number 139
_symmetry_space_group_name_Hall '-I 4 2'
loop_
_atom_site_label
_atom_site_type_symbol
_atom_site_fract_x
_atom_site_fract_y
_atom_site_fract_z
Rb1 Rb 0.0000 0.0000 0.0000
Li1 Li 0.0000 0.5000 0.2500
Pd1 Pd 0.0000 0.0000 0.3681
```

=====

B.
DFT (PBE) results for a relaxed structure of RbLi2Pd2.

```
data_RbLi2Pd2
_cell_length_a 8.1743
_cell_length_b 8.1743
_cell_length_c 2.9434
_cell_angle_alpha 90.00
_cell_angle_beta 90.00
_cell_angle_gamma 90.00
_symmetry_space_group_name_H-M 'P 4/m b m'
_symmetry_Int_Tables_number 127
_symmetry_space_group_name_Hall '-P 4 2ab'
loop_
_atom_site_label
_atom_site_type_symbol
_atom_site_fract_x
_atom_site_fract_y
_atom_site_fract_z
Rb1 Rb 0.0000 0.0000 0.0000
Li1 Li 0.1294 0.3706 0.0000
Pd1 Pd 0.1464 0.6464 0.5000
```

=====

The energy of each structure relative to the most stable one, in meV per atom, is as follows: A 65; B 0.

=====

A.
DFT (PBE) results for a relaxed structure of Rb2LiPd.

```
data_Rb2LiPd
_cell_length_a 12.7813
_cell_length_b 12.7813
_cell_length_c 4.8796
_cell_angle_alpha 90.00
_cell_angle_beta 90.00
_cell_angle_gamma 90.00
_symmetry_space_group_name_H-M 'I -4 2 d'
_symmetry_Int_Tables_number 122
_symmetry_space_group_name_Hall 'I -4 2bw'
loop_
_atom_site_label
_atom_site_type_symbol
_atom_site_fract_x
_atom_site_fract_y
_atom_site_fract_z
Rb1 Rb 0.0732 0.2500 0.1250
Li1 Li 0.0000 0.0000 0.5000
Pd1 Pd 0.0000 0.0000 0.0000
```

=====

B.
DFT (PBE) results for a relaxed structure of Rb2LiPd.

```
data_Rb2LiPd
_cell_length_a 8.4175
_cell_length_b 8.4175
_cell_length_c 8.4175
_cell_angle_alpha 90.00
_cell_angle_beta 90.00
_cell_angle_gamma 90.00
_symmetry_space_group_name_H-M 'F m -3 m'
_symmetry_Int_Tables_number 225
_symmetry_space_group_name_Hall '-F 4 2 3'
loop_
_atom_site_label
_atom_site_type_symbol
_atom_site_fract_x
_atom_site_fract_y
_atom_site_fract_z
Rb1 Rb 0.2500 0.2500 0.2500
Li1 Li 0.0000 0.0000 0.0000
Pd1 Pd 0.0000 0.0000 0.5000
```

=====

The energy of each structure relative to the most stable one, in meV per atom, is as follows: A 0; B 208.

=====

A.
DFT (PBE) results for a relaxed structure of Li2RePd2.

```
data_Li2RePd2
_cell_length_a 7.1933
_cell_length_b 7.1933
_cell_length_c 2.6619
_cell_angle_alpha 90.00
_cell_angle_beta 90.00
_cell_angle_gamma 90.00
_symmetry_space_group_name_H-M 'P 4/m b m'
_symmetry_Int_Tables_number 127
_symmetry_space_group_name_Hall '-P 4 2ab'
loop_
_atom_site_label
_atom_site_type_symbol
_atom_site_fract_x
_atom_site_fract_y
_atom_site_fract_z
Li1 Li 0.1464 0.3536 0.0000
Re1 Re 0.0000 0.0000 0.5000
Pd1 Pd 0.1532 0.6532 0.5000
```

=====

B.
DFT (PBE) results for a relaxed structure of Li2RePd2.

```
data_Li2RePd2
_cell_length_a 7.0071
_cell_length_b 7.0071
_cell_length_c 2.7029
_cell_angle_alpha 90.00
_cell_angle_beta 90.00
_cell_angle_gamma 90.00
_symmetry_space_group_name_H-M 'P 4/m b m'
_symmetry_Int_Tables_number 127
_symmetry_space_group_name_Hall '-P 4 2ab'
loop_
_atom_site_label
_atom_site_type_symbol
_atom_site_fract_x
_atom_site_fract_y
_atom_site_fract_z
Li1 Li 0.1121 0.3879 0.0000
Re1 Re 0.0000 0.0000 0.0000
Pd1 Pd 0.1901 0.6901 0.5000
```

=====

The energy of each structure relative to the most stable one, in meV per atom, is as follows: A 114; B 0.